Record 1
GaCuMo3 | Alexandria via LeMat-Bulk | PBE | relaxed; crystal system = cubic; calculated formation energy = 1.71 eV per atom; E = -0.2282 hartree per atom; total magnetic moment = 0.000 Bohr magnetons per cell
1.0
4.574 0.000 0.000
0.000 4.574 0.000
0.000 0.000 4.574
Mo Cu Ga
3 1 1
Direct
0.000 0.500 0.000
0.000 0.000 0.500
0.500 0.000 0.000
0.500 0.500 0.500
0.000 0.000 0.000

Record 2
Re3Cl | Alexandria via LeMat-Bulk | PBE | relaxed; crystal system = trigonal; E = -0.3447 hartree per atom; total magnetic moment = 0.000 Bohr magnetons per cell; formation energy (no corrections) = 0.418 eV/atom
1.0
-8.178 -2.976 -1.078
-7.221 -3.287 -3.736
-6.737 -5.316 -1.805
Re Cl
3 1
Direct
0.750 0.750 0.750
0.500 0.500 0.500
0.250 0.250 0.250
0.000 0.000 0.000

Record 3
Tm12Sn6C | Alexandria via LeMat-Bulk | PBE | relaxed; crystal system = trigonal; calculated formation energy = -0.51 eV per atom; E = -0.1868 hartree per atom; total magnetic moment = 0.000 Bohr magnetons per cell
1.0
-3.493 3.922 6.198
-3.409 -7.049 2.166
6.670 -1.555 4.370
Tm Sn C
12 6 1
Direct
0.076 0.286 0.954
0.584 0.454 0.798
0.046 0.924 0.714
0.798 0.584 0.454
0.954 0.076 0.286
0.416 0.546 0.202
0.286 0.954 0.076
0.546 0.202 0.416
0.924 0.714 0.046
0.202 0.416 0.546
0.454 0.798 0.584
0.714 0.046 0.924
0.372 0.134 0.749
0.866 0.251 0.628
0.628 0.866 0.251
0.134 0.749 0.372
0.251 0.628 0.866
0.749 0.372 0.134
0.000 0.000 0.000

Record 4
Hg3MoN | Alexandria via LeMat-Bulk | PBE | relaxed; crystal system = cubic; E = -0.0707 hartree per atom; total magnetic moment = 3.707 Bohr magnetons per cell; formation energy (no corrections) = 2.089 eV/atom
1.0
5.482 0.000 0.000
0.000 5.482 0.000
0.000 0.000 5.482
Hg N Mo
3 1 1
Direct
0.500 0.000 0.000
0.000 0.000 0.500
0.000 0.500 0.000
0.500 0.500 0.500
0.000 0.000 0.000

Record 5
CeTh3C3 | Alexandria via LeMat-Bulk | PBE | relaxed; crystal system = cubic; calculated formation energy = -0.18 eV per atom; E = -0.3000 hartree per atom; total magnetic moment = 0.000 Bohr magnetons per cell
1.0
5.259 0.000 0.000
0.000 5.259 0.000
0.000 0.000 5.259
Th C Ce
3 3 1
Direct
0.000 0.500 0.000
0.500 0.000 0.000
0.000 0.000 0.500
0.000 0.500 0.500
0.500 0.000 0.500
0.500 0.500 0.000
0.500 0.500 0.500

Record 6
Pm3AlGa2 | Alexandria via LeMat-Bulk | PBE | relaxed; crystal system = tetragonal; calculated formation energy = -0.50 eV per atom; E = -0.1657 hartree per atom; total magnetic moment = 0.000 Bohr magnetons per cell
1.0
3.675 0.000 0.000
0.000 3.675 0.000
0.000 0.000 11.061
Al Pm Ga
1 3 2
Direct
0.500 0.500 0.500
0.000 0.000 0.000
0.000 0.000 0.669
0.000 0.000 0.331
0.500 0.500 0.166
0.500 0.500 0.834